Record 1
DFT (GGA-PBEsol) results for a relaxed BeCdAs2 crystal.

ρ	6.4	g cm⁻³
E	-13.4	eV for the cell shown
energy above the lowest structure with this stoichiometry	0.054	eV/atom
energy of formation from the pure elements	0.50	eV/atom

Unit cell a=4.351 b=4.351 c=3.698 alpha=90.00 beta=90.00 gamma=90.00
Space group P4/mmm (No. 123)
One atom of each set of equivalent atoms:
Be  0.000  0.000  0.000
Cd  0.500  0.500  0.000
As  0.000  0.500  0.500

Record 2
DFT (GGA-PBEsol) results for a relaxed CdReB2F crystal.

ρ	7.7	g cm⁻³
E	-20.6	eV for the cell shown
E_form (uncorrected)	1971	meV per atom

Unit cell a=4.223 b=4.223 c=4.075 alpha=90.00 beta=90.00 gamma=90.00
Space group P4/mmm (No. 123)
One atom of each set of equivalent atoms:
Cd  0.000  0.000  0.000
Re  0.500  0.500  0.500
B  0.000  0.500  0.000
F  0.000  0.000  0.500

Record 3
DFT (GGA-PBEsol) results for a relaxed TlReAu2 crystal.

ρ	18.5	g cm⁻³
E	-41.1	eV for the cell shown
energy above the lowest structure with this stoichiometry	0.257	eV/atom
energy of formation from the pure elements	0.82	eV/atom

Unit cell a=4.118 b=4.118 c=8.312 alpha=90.00 beta=90.00 gamma=90.00
Space group I4/mmm (No. 139)
One atom of each set of equivalent atoms:
Tl  0.000  0.000  0.000
Re  0.000  0.000  0.500
Au  0.000  0.500  0.250

Record 4
DFT (GGA-PBEsol) results for a relaxed CrRuBr crystal.

ρ	9.3	g cm⁻³
E	-19.9	eV for the cell shown
energy above the lowest structure with this stoichiometry	0.000	eV/atom
E_form (uncorrected)	783	meV per atom

Unit cell a=4.0688 b=4.0688 c=2.9133 alpha=90.00 beta=90.00 gamma=120.00
Space group P3m1 (No. 156)
One atom of each set of equivalent atoms:
Cr  0.0000  0.0000  0.0000
Ru  0.3333  0.6667  0.4955
Br  0.6667  0.3333  0.8726

Record 5
DFT (GGA-PBEsol) results for a relaxed LiAl2Te crystal.

ρ	3.7	g cm⁻³
E	-28.7	eV for the cell shown
E_form (uncorrected)	-163	meV per atom

Unit cell a=8.847 b=3.649 c=5.778 alpha=90.00 beta=113.39 gamma=90.00
Space group Cm (No. 8)
One atom of each set of equivalent atoms:
Li  0.000  0.000  0.000
Al  0.055  0.500  0.440
Al  0.298  0.500  0.275
Te  0.243  0.000  0.840

Record 6
DFT (GGA-PBEsol) results for a relaxed HfAg2S3 crystal.

ρ	7.0	g cm⁻³
E	-281.1	eV for the cell shown
E_form (uncorrected)	-810	meV per atom

Unit cell a=11.336 b=6.604 c=12.385 alpha=90.00 beta=90.00 gamma=90.00
Space group Cmce (No. 64)
One atom of each set of equivalent atoms:
Hf  0.164  0.000  0.000
Ag  0.000  0.028  0.316
Ag  0.250  0.098  0.250
S  0.000  0.115  0.875
S  0.171  0.171  0.605

Record 7
DFT (GGA-PBEsol) results for a relaxed RbFeMo2Os crystal.

ρ	9.0	g cm⁻³
E	-36.7	eV for the cell shown
energy of formation from the pure elements	1.80	eV/atom

Unit cell a=4.600 b=4.600 c=4.559 alpha=90.00 beta=90.00 gamma=90.00
Space group P4/mmm (No. 123)
One atom of each set of equivalent atoms:
Rb  0.000  0.000  0.000
Fe  0.500  0.500  0.500
Mo  0.000  0.500  0.500
Os  0.500  0.500  0.000

Record 8
DFT (GGA-PBEsol) results for a relaxed ReMoAu2 crystal.

ρ	17.7	g cm⁻³
E	-96.1	eV for the cell shown
energy above the lowest structure with this stoichiometry	0.000	eV/atom
energy of formation from the pure elements	0.23	eV/atom

Unit cell a=2.7876 b=2.7876 c=28.2187 alpha=90.00 beta=90.00 gamma=120.00
Space group R3m (No. 160, hexagonal axes)
One atom of each set of equivalent atoms:
Re  0.0000  0.0000  0.0000
Mo  0.0000  0.0000  0.2558
Au  0.0000  0.0000  0.5048
Au  0.0000  0.0000  0.7510

Record 9
DFT (GGA-PBEsol) results for a relaxed Cs3PrF6 crystal.

ρ	4.2	g cm⁻³
E	-206.6	eV for the cell shown
E_form (uncorrected)	-3207	meV per atom

Unit cell a=10.100 b=10.100 c=10.100 alpha=90.00 beta=90.00 gamma=90.00
Space group Fm-3m (No. 225)
One atom of each set of equivalent atoms:
Cs  0.000  0.000  0.000
Cs  0.250  0.250  0.250
Pr  0.000  0.000  0.500
F  0.000  0.000  0.275

Record 10
DFT (GGA-PBEsol) results for a relaxed Sc2CdCu crystal.

ρ	5.8	g cm⁻³
E	-38.7	eV for the cell shown
energy of formation from the pure elements	-0.16	eV/atom

Unit cell a=3.210 b=4.763 c=10.001 alpha=90.00 beta=90.00 gamma=90.00
Space group Imm2 (No. 44)
One atom of each set of equivalent atoms:
Sc  0.000  0.000  0.000
Sc  0.000  0.500  0.210
Cd  0.000  0.500  0.780
Cu  0.000  0.000  0.491

Record 11
DFT (GGA-PBEsol) results for a relaxed BeReHg crystal.

ρ	12.2	g cm⁻³
E	-52.8	eV for the cell shown
energy above the lowest structure with this stoichiometry	1.035	eV/atom
energy of formation from the pure elements	1.57	eV/atom

Unit cell a=6.003 b=6.003 c=6.003 alpha=90.00 beta=90.00 gamma=90.00
Space group F-43m (No. 216)
One atom of each set of equivalent atoms:
Be  0.000  0.000  0.000
Re  0.000  0.000  0.500
Hg  0.250  0.250  0.750

Record 12
DFT (GGA-PBEsol) results for a relaxed Ca2Zn2F crystal.

ρ	3.6	g cm⁻³
E	-26.6	eV for the cell shown
E_form (uncorrected)	-785	meV per atom

Unit cell a=3.558 b=3.558 c=16.885 alpha=90.00 beta=90.00 gamma=90.00
Space group I4/mmm (No. 139)
One atom of each set of equivalent atoms:
Ca  0.000  0.000  0.101
Zn  0.000  0.500  0.250
F  0.000  0.000  0.500